BeH2I: relaxed, PBE.

Summary:
- DFT total energy: -2.5944 eV/atom
- DOS(E_F): 0.403 states/eV/atom
- Calculated volume: 204 Å³ per cell
- ΔE to the lowest computed polymorph: 0 meV per atom
- Magnetic moment: 0.00 μB/cell

Structure (CIF):
```
data_BeH2I
_cell_length_a 5.250
_cell_length_b 5.250
_cell_length_c 7.411
_cell_angle_alpha 90.00
_cell_angle_beta 90.00
_cell_angle_gamma 90.00
_space_group_name_H-M_alt 'I 41/a m d'
_space_group_IT_number 141
loop_
_space_group_symop_operation_xyz
'x,y,z'
'-x,-y,-z'
'-y+1/4,x+3/4,z+1/4'
'y+1/4,-x+3/4,-z+1/4'
'-x+1/2,-y,z+1/2'
'x+1/2,y,-z+1/2'
'y+1/4,-x+1/4,z+3/4'
'-y+1/4,x+1/4,-z+3/4'
'x,-y,-z'
'-x,y,z'
'-y+1/4,-x+1/4,-z+3/4'
'y+1/4,x+1/4,z+3/4'
'-x+1/2,y,-z+1/2'
'x+1/2,-y,z+1/2'
'y+1/4,x+3/4,-z+1/4'
'-y+1/4,-x+3/4,z+1/4'
'x+1/2,y+1/2,z+1/2'
'-x+1/2,-y+1/2,-z+1/2'
'-y+3/4,x+1/4,z+3/4'
'y+3/4,-x+1/4,-z+3/4'
'-x,-y+1/2,z'
'x,y+1/2,-z'
'y+3/4,-x+3/4,z+1/4'
'-y+3/4,x+3/4,-z+1/4'
'x+1/2,-y+1/2,-z+1/2'
'-x+1/2,y+1/2,z+1/2'
'-y+3/4,-x+3/4,-z+1/4'
'y+3/4,x+3/4,z+1/4'
'-x,y+1/2,-z'
'x,-y+1/2,z'
'y+3/4,x+1/4,-z+3/4'
'-y+3/4,-x+1/4,z+3/4'
loop_
_atom_site_label
_atom_site_type_symbol
_atom_site_fract_x
_atom_site_fract_y
_atom_site_fract_z
Be1 Be 0.000 0.250 0.375
H1 H 0.000 0.000 0.500
I1 I 0.000 0.250 0.875
```

***

Ac2Sm3Y8: relaxed, PBE.

Summary:
- DFT total energy: -5.5067 eV/atom
- DOS(E_F): 1.596 states/eV/atom
- E_form: 0.192 eV per atom
- Calculated volume: 909 Å³ per cell
- ΔE to the lowest computed polymorph: 0 meV per atom
- Magnetic moment: 0.00 μB/cell

Structure (CIF):
```
data_Ac2Sm3Y8
_cell_length_a 13.317
_cell_length_b 11.846
_cell_length_c 6.277
_cell_angle_alpha 90.00
_cell_angle_beta 113.40
_cell_angle_gamma 90.00
_space_group_name_H-M_alt 'C 1 2/m 1'
_space_group_IT_number 12
loop_
_space_group_symop_operation_xyz
'x,y,z'
'-x,-y,-z'
'-x,y,-z'
'x,-y,z'
'x+1/2,y+1/2,z'
'-x+1/2,-y+1/2,-z'
'-x+1/2,y+1/2,-z'
'x+1/2,-y+1/2,z'
loop_
_atom_site_label
_atom_site_type_symbol
_atom_site_fract_x
_atom_site_fract_y
_atom_site_fract_z
Ac1 Ac 0.203 0.000 0.355
Sm1 Sm 0.000 0.256 0.000
Sm2 Sm 0.000 0.500 0.500
Y1 Y 0.067 0.000 0.776
Y2 Y 0.154 0.500 0.041
Y3 Y 0.169 0.246 0.679
```

***

Np2Si2Ru5W: relaxed, PBE.

Summary:
- DFT total energy: -9.8354 eV/atom
- DOS(E_F): 1.498 states/eV/atom
- Calculated volume: 325 Å³ per cell
- Raw formation energy: -229.4 meV per atom
- Magnetic moment: 14.93 μB/cell

Structure (CIF):
```
data_Np2Si2Ru5W
_cell_length_a 10.298
_cell_length_b 10.298
_cell_length_c 3.061
_cell_angle_alpha 90.00
_cell_angle_beta 90.00
_cell_angle_gamma 90.00
_space_group_name_H-M_alt 'P 4/m b m'
_space_group_IT_number 127
_space_group_name_Hall '-P 4 2ab'
loop_
_atom_site_label
_atom_site_type_symbol
_atom_site_fract_x
_atom_site_fract_y
_atom_site_fract_z
Np1 Np 0.176 0.324 0.000
Si1 Si 0.127 0.627 0.000
Ru1 Ru 0.000 0.500 0.500
Ru2 Ru 0.059 0.795 0.500
W1 W 0.000 0.000 0.000
```

***

OsRhAu4: relaxed, PBE.

Summary:
- DFT total energy: -4.4177 eV/atom
- DOS(E_F): 0.596 states/eV/atom
- E_form: 0.864 eV per atom
- Calculated volume: 434 Å³ per cell
- Magnetic moment: 12.11 μB/cell

Structure (CIF):
```
data_OsRhAu4
_cell_length_a 7.572
_cell_length_b 7.572
_cell_length_c 7.572
_cell_angle_alpha 90.00
_cell_angle_beta 90.00
_cell_angle_gamma 90.00
_space_group_name_H-M_alt 'F -4 3 m'
_space_group_IT_number 216
_space_group_name_Hall 'F -4 2 3'
loop_
_atom_site_label
_atom_site_type_symbol
_atom_site_fract_x
_atom_site_fract_y
_atom_site_fract_z
Os1 Os 0.000 0.000 0.000
Rh1 Rh 0.250 0.250 0.250
Au1 Au 0.125 0.125 0.625
```

***

AlFeIr: relaxed, PBE.

Summary:
- DFT total energy: -7.4046 eV/atom
- DOS(E_F): 0.675 states/eV/atom
- E_form: -0.382 eV per atom
- Calculated volume: 82 Å³ per cell
- Magnetic moment: 6.02 μB/cell

Structure (CIF):
```
data_AlFeIr
_cell_length_a 2.823
_cell_length_b 3.591
_cell_length_c 8.048
_cell_angle_alpha 90.00
_cell_angle_beta 90.00
_cell_angle_gamma 90.00
_space_group_name_H-M_alt 'I m m 2'
_space_group_IT_number 44
loop_
_space_group_symop_operation_xyz
'x,y,z'
'-x,-y,z'
'-x,y,z'
'x,-y,z'
'x+1/2,y+1/2,z+1/2'
'-x+1/2,-y+1/2,z+1/2'
'-x+1/2,y+1/2,z+1/2'
'x+1/2,-y+1/2,z+1/2'
loop_
_atom_site_label
_atom_site_type_symbol
_atom_site_fract_x
_atom_site_fract_y
_atom_site_fract_z
Al1 Al 0.000 0.000 0.000
Fe1 Fe 0.000 0.000 0.669
Ir1 Ir 0.000 0.000 0.336
```

***

Ce4DySe7: relaxed, PBE.

Summary:
- DFT total energy: -6.2050 eV/atom
- DOS(E_F): 2.357 states/eV/atom
- Calculated volume: 677 Å³ per cell
- Raw formation energy: -1810.9 meV per atom
- Magnetic moment: 4.26 μB/cell

Structure (CIF):
```
data_Ce4DySe7
_cell_length_a 13.812
_cell_length_b 4.097
_cell_length_c 12.388
_cell_angle_alpha 90.00
_cell_angle_beta 105.14
_cell_angle_gamma 90.00
_space_group_name_H-M_alt 'C 1 m 1'
_space_group_IT_number 8
loop_
_space_group_symop_operation_xyz
'x,y,z'
'x,-y,z'
'x+1/2,y+1/2,z'
'x+1/2,-y+1/2,z'
loop_
_atom_site_label
_atom_site_type_symbol
_atom_site_fract_x
_atom_site_fract_y
_atom_site_fract_z
Ce1 Ce 0.000 0.000 0.000
Ce2 Ce 0.086 0.500 0.381
Ce3 Ce 0.189 0.000 0.766
Ce4 Ce 0.387 0.500 0.571
Dy1 Dy 0.271 0.500 0.150
Se1 Se 0.046 0.500 0.625
Se2 Se 0.128 0.500 0.929
Se3 Se 0.154 0.000 0.223
Se4 Se 0.227 0.000 0.522
Se5 Se 0.348 0.500 0.789
Se6 Se 0.380 0.000 0.074
Se7 Se 0.425 0.500 0.352
```

***

CaCuCl2: relaxed, PBE.

Summary:
- DFT total energy: -3.4322 eV/atom
- DOS(E_F): 0.146 states/eV/atom
- Calculated volume: 241 Å³ per cell
- ΔE to the lowest computed polymorph: 97 meV per atom
- Raw formation energy: -984.4 meV per atom
- Magnetic moment: 0.00 μB/cell

Structure (CIF):
```
data_CaCuCl2
_cell_length_a 4.743
_cell_length_b 4.761
_cell_length_c 10.689
_cell_angle_alpha 90.00
_cell_angle_beta 90.00
_cell_angle_gamma 90.00
_space_group_name_H-M_alt 'C m m m'
_space_group_IT_number 65
_space_group_name_Hall '-C 2 2'
loop_
_atom_site_label
_atom_site_type_symbol
_atom_site_fract_x
_atom_site_fract_y
_atom_site_fract_z
Ca1 Ca 0.000 0.000 0.000
Cu1 Cu 0.000 0.000 0.500
Cl1 Cl 0.000 0.500 0.148
```

***

CrCo2Pb: relaxed, PBE.

Summary:
- DFT total energy: -6.4354 eV/atom
- DOS(E_F): 0.670 states/eV/atom
- E_form: 0.450 eV per atom
- Calculated volume: 58 Å³ per cell
- Magnetic moment: 3.97 μB/cell

Structure (CIF):
```
data_CrCo2Pb
_cell_length_a 3.087
_cell_length_b 3.087
_cell_length_c 6.105
_cell_angle_alpha 90.00
_cell_angle_beta 90.00
_cell_angle_gamma 90.00
_space_group_name_H-M_alt 'P 4/m m m'
_space_group_IT_number 123
_space_group_name_Hall '-P 4 2'
loop_
_atom_site_label
_atom_site_type_symbol
_atom_site_fract_x
_atom_site_fract_y
_atom_site_fract_z
Cr1 Cr 0.000 0.000 0.000
Co1 Co 0.500 0.500 0.210
Pb1 Pb 0.000 0.000 0.500
```

***

Please write out number 8 again, unchanged.
CrCo2Pb: relaxed, PBE.

Summary:
- DFT total energy: -6.4354 eV/atom
- DOS(E_F): 0.670 states/eV/atom
- E_form: 0.450 eV per atom
- Calculated volume: 58 Å³ per cell
- Magnetic moment: 3.97 μB/cell

Structure (CIF):
```
data_CrCo2Pb
_cell_length_a 3.087
_cell_length_b 3.087
_cell_length_c 6.105
_cell_angle_alpha 90.00
_cell_angle_beta 90.00
_cell_angle_gamma 90.00
_space_group_name_H-M_alt 'P 4/m m m'
_space_group_IT_number 123
_space_group_name_Hall '-P 4 2'
loop_
_atom_site_label
_atom_site_type_symbol
_atom_site_fract_x
_atom_site_fract_y
_atom_site_fract_z
Cr1 Cr 0.000 0.000 0.000
Co1 Co 0.500 0.500 0.210
Pb1 Pb 0.000 0.000 0.500
```